--- A ---
# Tm3Zr3Sb2Ir, optimized geometry, DFT PBE-GGA
data_Tm3Zr3Sb2Ir
_chemical_formula_sum 'Tm3 Zr3 Sb2 Ir1'
_cell_length_a 8.0410
_cell_length_b 8.0410
_cell_length_c 3.7883
_cell_angle_alpha 90.00
_cell_angle_beta 90.00
_cell_angle_gamma 120.00
_symmetry_space_group_name_H-M 'P -6 2 m'
_symmetry_Int_Tables_number 189
_symmetry_space_group_name_Hall 'P -6 -2'
loop_
_atom_site_label
_atom_site_type_symbol
_atom_site_fract_x
_atom_site_fract_y
_atom_site_fract_z
Tm1 Tm 0.0000 0.7509 0.0000
Zr1 Zr 0.0000 0.4014 0.5000
Sb1 Sb 0.3333 0.6667 0.0000
Ir1 Ir 0.0000 0.0000 0.5000
# **Mass density**: 9.521 g/cm3
# **Total magnetization**: 0.002 μB/atom

---

--- B ---
# Tm3Zr3Sb2Ir, optimized geometry, DFT PBE-GGA
data_Tm3Zr3Sb2Ir
_chemical_formula_sum 'Tm3 Zr3 Sb2 Ir1'
_cell_length_a 7.9771
_cell_length_b 7.9771
_cell_length_c 3.9391
_cell_angle_alpha 90.00
_cell_angle_beta 90.00
_cell_angle_gamma 120.00
_symmetry_space_group_name_H-M 'P -6 2 m'
_symmetry_Int_Tables_number 189
_symmetry_space_group_name_Hall 'P -6 -2'
loop_
_atom_site_label
_atom_site_type_symbol
_atom_site_fract_x
_atom_site_fract_y
_atom_site_fract_z
Tm1 Tm 0.0000 0.3972 0.0000
Zr1 Zr 0.0000 0.7607 0.5000
Sb1 Sb 0.3333 0.6667 0.5000
Ir1 Ir 0.0000 0.0000 0.0000
# **Mass density**: 9.303 g/cm3
# **Total magnetization**: 0.059 μB/atom

---

Stability, highest: B

---

--- A ---
# SmScIr, optimized geometry, DFT PBE-GGA
data_SmScIr
_chemical_formula_sum 'Sm4 Sc4 Ir4'
_cell_length_a 6.571
_cell_length_b 6.571
_cell_length_c 6.571
_cell_angle_alpha 90.00
_cell_angle_beta 90.00
_cell_angle_gamma 90.00
_symmetry_space_group_name_H-M 'F -4 3 m'
_symmetry_Int_Tables_number 216
_symmetry_space_group_name_Hall 'F -4 2 3'
loop_
_atom_site_label
_atom_site_type_symbol
_atom_site_fract_x
_atom_site_fract_y
_atom_site_fract_z
Sm1 Sm 0.000 0.000 0.000
Sc1 Sc 0.250 0.250 0.250
Ir1 Ir 0.250 0.250 0.750
# **Mass density**: 9.073 g/cm3
# **Total magnetization**: 0.002 μB/atom

---

--- B ---
# SmScIr, optimized geometry, DFT PBE-GGA
data_SmScIr
_chemical_formula_sum 'Sm4 Sc4 Ir4'
_cell_length_a 6.465
_cell_length_b 6.465
_cell_length_c 6.465
_cell_angle_alpha 90.00
_cell_angle_beta 90.00
_cell_angle_gamma 90.00
_symmetry_space_group_name_H-M 'F -4 3 m'
_symmetry_Int_Tables_number 216
_symmetry_space_group_name_Hall 'F -4 2 3'
loop_
_atom_site_label
_atom_site_type_symbol
_atom_site_fract_x
_atom_site_fract_y
_atom_site_fract_z
Sm1 Sm 0.000 0.000 0.000
Sc1 Sc 0.250 0.250 0.750
Ir1 Ir 0.000 0.000 0.500
# **Mass density**: 9.527 g/cm3
# **Total magnetization**: 0.001 μB/atom

---

Stability, highest: B

---

--- A ---
# Zr3Sc3Te2Ir, optimized geometry, DFT PBE-GGA
data_Zr3Sc3Te2Ir
_chemical_formula_sum 'Zr3 Sc3 Te2 Ir1'
_cell_length_a 7.7995
_cell_length_b 7.7995
_cell_length_c 3.6850
_cell_angle_alpha 90.00
_cell_angle_beta 90.00
_cell_angle_gamma 120.00
_symmetry_space_group_name_H-M 'P -6 2 m'
_symmetry_Int_Tables_number 189
_symmetry_space_group_name_Hall 'P -6 -2'
loop_
_atom_site_label
_atom_site_type_symbol
_atom_site_fract_x
_atom_site_fract_y
_atom_site_fract_z
Zr1 Zr 0.0000 0.4019 0.0000
Sc1 Sc 0.0000 0.7556 0.5000
Te1 Te 0.3333 0.6667 0.5000
Ir1 Ir 0.0000 0.0000 0.0000
# **Mass density**: 7.321 g/cm3
# **Total magnetization**: 0.040 μB/atom

---

--- B ---
# Zr3Sc3Te2Ir, optimized geometry, DFT PBE-GGA
data_Zr3Sc3Te2Ir
_chemical_formula_sum 'Zr3 Sc3 Te2 Ir1'
_cell_length_a 7.8883
_cell_length_b 7.8883
_cell_length_c 3.6855
_cell_angle_alpha 90.00
_cell_angle_beta 90.00
_cell_angle_gamma 120.00
_symmetry_space_group_name_H-M 'P -6 2 m'
_symmetry_Int_Tables_number 189
_symmetry_space_group_name_Hall 'P -6 -2'
loop_
_atom_site_label
_atom_site_type_symbol
_atom_site_fract_x
_atom_site_fract_y
_atom_site_fract_z
Zr1 Zr 0.0000 0.7508 0.0000
Sc1 Sc 0.0000 0.3977 0.5000
Te1 Te 0.3333 0.6667 0.0000
Ir1 Ir 0.0000 0.0000 0.5000
# **Mass density**: 7.156 g/cm3
# **Total magnetization**: 0.001 μB/atom

---

Stability, highest: B